{
  "formula": "ZrCo2Bi",
  "functional": "PBE-GGA",
  "state": "optimized geometry",
  "formation_energy_mev_per_atom": 458,
  "e_tot_ev_per_cell": -99.23,
  "cell": [[4.228, 0.000, 0.000], [0.000, 4.228, 0.000], [0.000, 0.000, 17.439]],
  "species": ["Zr", "Zr", "Zr", "Zr", "Co", "Co", "Co", "Co", "Co", "Co", "Co", "Co", "Bi", "Bi", "Bi", "Bi"],
  "frac_coords": [[0.000, 0.000, 0.000], [0.000, 0.500, 0.250], [0.500, 0.000, 0.750], [0.500, 0.500, 0.500], [0.187, 0.250, 0.125], [0.250, 0.687, 0.375], [0.250, 0.813, 0.875], [0.313, 0.250, 0.625], [0.687, 0.750, 0.625], [0.750, 0.187, 0.875], [0.750, 0.313, 0.375], [0.813, 0.750, 0.125], [0.000, 0.000, 0.500], [0.000, 0.500, 0.750], [0.500, 0.000, 0.250], [0.500, 0.500, 0.000]]
}